# Li2MnCo3O8

A crystal of Li2MnCo3O8 relaxed with PBEsol (SCAN, Alexandria).

a b c (Å): 9.5861 5.5946 5.6857
angles (deg): 90.00 122.50 90.00
Space group C2/m (No. 12)
Unique sites:
1 Li 0.2500 0.2500 0.0000 (multiplicity 4)
2 Mn 0.0000 0.0000 0.5000 (multiplicity 2)
3 Co 0.0000 0.5000 0.5000 (multiplicity 2)
4 Co 0.2500 0.2500 0.5000 (multiplicity 4)
5 O 0.0168 0.2524 0.2958 (multiplicity 8)
6 O 0.2311 0.5000 0.7044 (multiplicity 4)
7 O 0.2339 0.0000 0.7109 (multiplicity 4)

Summary:
The calculation puts the density of states at the Fermi level at 0.11 states/eV per atom. The volume comes out at 9.19 Å³/atom. For the spin magnetization, the calculation gives 4.0 μB/f.u. As for the energy relative to the elements, uncorrected: -1.77 eV/atom. The energy above the most stable polymorph in this dataset is 0.064 eV/atom.

# Li2Mn3CoO8

A crystal of Li2Mn3CoO8 relaxed with PBEsol (SCAN, Alexandria).

a b c (Å): 5.6690 5.6690 13.9620
angles (deg): 90.00 90.00 120.00
Space group R-3m (No. 166, hexagonal axes)
Unique sites:
1 Li 0.0000 0.0000 0.1248 (multiplicity 6)
2 Mn 0.0000 0.5000 0.0000 (multiplicity 9)
3 Co 0.0000 0.0000 0.5000 (multiplicity 3)
4 O 0.0000 0.0000 0.2619 (multiplicity 6)
5 O 0.0358 0.5179 0.2548 (multiplicity 18)

Summary:
The calculation puts the density of states at the Fermi level at 0.23 states/eV per atom. The volume comes out at 9.25 Å³/atom. For the spin magnetization, the calculation gives 8.0 μB/f.u. As for the energy relative to the elements, uncorrected: -2.15 eV/atom. The energy above the most stable polymorph in this dataset is 0.001 eV/atom.

# Li4MnCo2O7

A crystal of Li4MnCo2O7 relaxed with PBEsol (SCAN, Alexandria).

a b c (Å): 4.8587 19.6592 4.9344
angles (deg): 90.00 109.04 90.00
Space group C2 (No. 5)
Unique sites:
1 Li 0.0000 0.0000 0.0000 (multiplicity 2)
2 Li 0.0000 0.0660 0.5000 (multiplicity 2)
3 Li 0.0000 0.2170 0.5000 (multiplicity 2)
4 Li 0.0000 0.3599 0.5000 (multiplicity 2)
5 Li 0.0000 0.5014 0.5000 (multiplicity 2)
6 Li 0.0000 0.6427 0.5000 (multiplicity 2)
7 Li 0.0000 0.7883 0.5000 (multiplicity 2)
8 Li 0.0000 0.9324 0.5000 (multiplicity 2)
9 Mn 0.0000 0.1413 0.0000 (multiplicity 2)
10 Mn 0.0000 0.4319 0.0000 (multiplicity 2)
11 Co 0.0000 0.2874 0.0000 (multiplicity 2)
12 Co 0.0000 0.5719 0.0000 (multiplicity 2)
13 Co 0.0000 0.7155 0.0000 (multiplicity 2)
14 Co 0.0000 0.8589 0.0000 (multiplicity 2)
15 O 0.2224 0.5007 0.2300 (multiplicity 4)
16 O 0.2385 0.2165 0.2193 (multiplicity 4)
17 O 0.2385 0.7863 0.2127 (multiplicity 4)
18 O 0.2402 0.6442 0.2188 (multiplicity 4)
19 O 0.2422 0.3581 0.2189 (multiplicity 4)
20 O 0.2472 0.0774 0.2276 (multiplicity 4)
21 O 0.2481 0.4250 0.7743 (multiplicity 4)

Summary:
The volume comes out at 7.96 Å³/atom. For the spin magnetization, the calculation gives 3.0 μB/f.u. As for the energy relative to the elements, uncorrected: -2.06 eV/atom. The energy above the most stable polymorph in this dataset is 0.002 eV/atom.

# Li7Mn4CoO12

A crystal of Li7Mn4CoO12 relaxed with PBEsol (SCAN, Alexandria).

a b c (Å): 9.5579 8.4136 4.8741
angles (deg): 90.00 99.69 90.00
Space group C2 (No. 5)
Unique sites:
1 Li 0.0000 0.0000 0.0000 (multiplicity 2)
2 Li 0.2408 0.1632 0.2369 (multiplicity 4)
3 Li 0.2430 0.9964 0.7582 (multiplicity 4)
4 Li 0.2465 0.8336 0.2417 (multiplicity 4)
5 Mn 0.0000 0.1608 0.5000 (multiplicity 2)
6 Mn 0.0000 0.5000 0.5000 (multiplicity 2)
7 Mn 0.0000 0.6663 0.0000 (multiplicity 2)
8 Mn 0.0000 0.8337 0.5000 (multiplicity 2)
9 Co 0.0000 0.3296 0.0000 (multiplicity 2)
10 O 0.1089 0.3323 0.3657 (multiplicity 4)
11 O 0.1118 0.4970 0.8695 (multiplicity 4)
12 O 0.1127 0.1743 0.8575 (multiplicity 4)
13 O 0.1127 0.6649 0.3693 (multiplicity 4)
14 O 0.1143 0.8195 0.8613 (multiplicity 4)
15 O 0.1159 0.9978 0.3905 (multiplicity 4)

Summary:
The calculation puts the density of states at the Fermi level at 0.20 states/eV per atom. The volume comes out at 8.05 Å³/atom. For the spin magnetization, the calculation gives 10.0 μB/f.u. As for the energy relative to the elements, uncorrected: -2.20 eV/atom. The energy above the most stable polymorph in this dataset is 0.000 eV/atom.